{
  "formula": "P3IrO9",
  "functional": "GGA-PBE",
  "state": "relaxed",
  "lattice_angstrom": [[6.651, -9.723, 0.000], [6.651, 9.723, 0.000], [-5.759, 0.000, 7.595]],
  "species": ["P", "P", "P", "P", "P", "P", "P", "P", "P", "P", "P", "P", "P", "P", "P", "P", "P", "P", "Ir", "Ir", "Ir", "Ir", "Ir", "Ir", "O", "O", "O", "O", "O", "O", "O", "O", "O", "O", "O", "O", "O", "O", "O", "O", "O", "O", "O", "O", "O", "O", "O", "O", "O", "O", "O", "O", "O", "O", "O", "O", "O", "O", "O", "O", "O", "O", "O", "O", "O", "O", "O", "O", "O", "O", "O", "O", "O", "O", "O", "O", "O", "O"],
  "fractional_positions": [[0.026, 0.974, 0.000], [0.190, 0.254, 0.345], [0.227, 0.936, 0.877], [0.254, 0.190, 0.845], [0.284, 0.678, 0.466], [0.292, 0.919, 0.416], [0.348, 0.619, 0.971], [0.512, 0.905, 0.320], [0.567, 0.842, 0.819], [0.600, 0.638, 0.932], [0.619, 0.348, 0.471], [0.638, 0.600, 0.432], [0.678, 0.284, 0.966], [0.842, 0.567, 0.319], [0.905, 0.512, 0.820], [0.919, 0.292, 0.916], [0.936, 0.227, 0.377], [0.974, 0.026, 0.500], [0.092, 0.582, 0.634], [0.275, 0.436, 0.162], [0.436, 0.275, 0.662], [0.582, 0.092, 0.134], [0.770, 0.945, 0.666], [0.945, 0.770, 0.166], [0.013, 0.368, 0.547], [0.021, 0.957, 0.387], [0.022, 0.606, 0.807], [0.032, 0.223, 0.291], [0.057, 0.327, 0.054], [0.109, 0.913, 0.929], [0.114, 0.157, 0.689], [0.154, 0.829, 0.238], [0.156, 0.575, 0.457], [0.157, 0.114, 0.189], [0.175, 0.796, 0.724], [0.223, 0.032, 0.791], [0.250, 0.259, 0.516], [0.259, 0.250, 0.016], [0.264, 0.489, 0.974], [0.281, 0.617, 0.804], [0.283, 0.386, 0.350], [0.287, 0.621, 0.301], [0.303, 0.830, 0.512], [0.327, 0.057, 0.554], [0.368, 0.013, 0.047], [0.386, 0.283, 0.850], [0.388, 0.762, 0.131], [0.419, 0.955, 0.380], [0.426, 0.721, 0.629], [0.489, 0.264, 0.474], [0.494, 0.533, 0.275], [0.502, 0.647, 0.012], [0.527, 0.898, 0.948], [0.533, 0.494, 0.775], [0.575, 0.156, 0.957], [0.585, 0.864, 0.439], [0.606, 0.022, 0.307], [0.617, 0.281, 0.304], [0.621, 0.287, 0.801], [0.621, 0.745, 0.862], [0.647, 0.502, 0.512], [0.675, 0.953, 0.811], [0.704, 0.740, 0.599], [0.721, 0.426, 0.129], [0.740, 0.704, 0.099], [0.745, 0.621, 0.362], [0.762, 0.388, 0.631], [0.796, 0.175, 0.224], [0.829, 0.154, 0.738], [0.830, 0.303, 0.012], [0.864, 0.585, 0.939], [0.865, 0.929, 0.520], [0.898, 0.527, 0.448], [0.913, 0.109, 0.429], [0.929, 0.865, 0.020], [0.953, 0.675, 0.311], [0.955, 0.419, 0.880], [0.957, 0.021, 0.887]],
  "n_ef_per_ev_fu": 0.0,
  "volume_a3_per_fu": 163.7,
  "spacegroup": "Cc, No. 9",
  "formation_energy_uncorrected_ev_per_atom": -1.741,
  "rho_g_cm3": 4.353
}

{
  "formula": "Pu3N3O",
  "functional": "GGA-PBE",
  "state": "relaxed",
  "lattice_angstrom": [[4.757, 0.000, 0.000], [0.000, 4.757, 0.000], [0.000, 0.000, 4.757]],
  "species": ["Pu", "Pu", "Pu", "N", "N", "N", "O"],
  "fractional_positions": [[0.000, 0.000, 0.500], [0.000, 0.500, 0.000], [0.500, 0.000, 0.000], [0.000, 0.500, 0.500], [0.500, 0.000, 0.500], [0.500, 0.500, 0.000], [0.000, 0.000, 0.000]],
  "n_ef_per_ev_fu": 14.5,
  "volume_a3_per_fu": 107.7,
  "spacegroup": "Pm-3m, No. 221",
  "formation_energy_uncorrected_ev_per_atom": -1.182,
  "rho_g_cm3": 12.185
}